# 1
# Mg3CuIr (PBE-GGA, optimized geometry)
# **E_form**: 325.0 meV per atom
# **N(E_F)**: 2.02 states/eV/f.u.
# **E above lowest polymorph**: 546 meV/atom
# **Calculated total energy**: -3.223 eV per atom
# **Space group**: Pm-3m, No. 221
data_Mg3CuIr
_symmetry_space_group_name_H-M 'P 1'
_symmetry_Int_Tables_number 1
_cell_length_a 4.920
_cell_length_b 4.920
_cell_length_c 4.920
_cell_angle_alpha 90.00
_cell_angle_beta 90.00
_cell_angle_gamma 90.00
loop_
_symmetry_equiv_pos_as_xyz
'x,y,z'
loop_
_atom_site_label
_atom_site_fract_x
_atom_site_fract_y
_atom_site_fract_z
Mg1 0.000 0.500 0.000
Mg2 0.000 0.000 0.500
Mg3 0.500 0.000 0.000
Cu1 0.500 0.500 0.500
Ir1 0.000 0.000 0.000

***

# 2
# BaPdC3 (PBE-GGA, optimized geometry)
# **E_form**: 3762.3 meV per atom
# **N(E_F)**: 2.46 states/eV/f.u.
# **E above lowest polymorph**: 1755 meV/atom
# **Calculated total energy**: -3.195 eV per atom
# **Space group**: Pm-3m, No. 221
data_BaPdC3
_symmetry_space_group_name_H-M 'P 1'
_symmetry_Int_Tables_number 1
_cell_length_a 4.651
_cell_length_b 4.651
_cell_length_c 4.651
_cell_angle_alpha 90.00
_cell_angle_beta 90.00
_cell_angle_gamma 90.00
loop_
_symmetry_equiv_pos_as_xyz
'x,y,z'
loop_
_atom_site_label
_atom_site_fract_x
_atom_site_fract_y
_atom_site_fract_z
Pd1 0.500 0.500 0.500
Ba1 0.000 0.000 0.000
C1 0.500 0.000 0.000
C2 0.000 0.500 0.000
C3 0.000 0.000 0.500

***

# 3
# CsSb12Pt4 (PBE-GGA, optimized geometry)
# **N(E_F)**: 7.11 states/eV/f.u.
# **ΔE_f (raw)**: -0.33 eV per atom
# **Calculated total energy**: -4.713 eV per atom
# **Space group**: Im-3, No. 204
data_CsSb12Pt4
_symmetry_space_group_name_H-M 'P 1'
_symmetry_Int_Tables_number 1
_cell_length_a 8.379
_cell_length_b 8.379
_cell_length_c 8.379
_cell_angle_alpha 109.47
_cell_angle_beta 109.47
_cell_angle_gamma 109.47
loop_
_symmetry_equiv_pos_as_xyz
'x,y,z'
loop_
_atom_site_label
_atom_site_fract_x
_atom_site_fract_y
_atom_site_fract_z
Sb1 0.843 0.348 0.191
Sb2 0.191 0.843 0.348
Sb3 0.495 0.843 0.652
Sb4 0.652 0.495 0.843
Sb5 0.348 0.505 0.157
Sb6 0.348 0.191 0.843
Sb7 0.843 0.652 0.495
Sb8 0.157 0.348 0.505
Sb9 0.505 0.157 0.348
Sb10 0.157 0.652 0.809
Sb11 0.809 0.157 0.652
Sb12 0.652 0.809 0.157
Cs1 0.000 0.000 0.000
Pt1 0.000 0.000 0.500
Pt2 0.500 0.500 0.500
Pt3 0.500 0.000 0.000
Pt4 0.000 0.500 0.000

***

# 4
# SrY2Cd (PBE-GGA, optimized geometry)
# **E_form**: 67.3 meV per atom
# **N(E_F)**: 4.35 states/eV/f.u.
# **Calculated total energy**: -3.814 eV per atom
# **Space group**: I-4m2, No. 119
data_SrY2Cd
_symmetry_space_group_name_H-M 'P 1'
_symmetry_Int_Tables_number 1
_cell_length_a 6.155
_cell_length_b 6.155
_cell_length_c 6.155
_cell_angle_alpha 131.57
_cell_angle_beta 131.57
_cell_angle_gamma 70.91
loop_
_symmetry_equiv_pos_as_xyz
'x,y,z'
loop_
_atom_site_label
_atom_site_fract_x
_atom_site_fract_y
_atom_site_fract_z
Sr1 0.750 0.250 0.500
Y1 0.250 0.750 0.500
Y2 0.000 0.000 0.000
Cd1 0.500 0.500 0.000

***

# 5
# K2NaOsCl6 (PBE-GGA, optimized geometry)
# **N(E_F)**: 7.57 states/eV/f.u.
# **ΔE_f (raw)**: -1.23 eV per atom
# **Calculated total energy**: -3.812 eV per atom
# **Space group**: Pmmn, No. 59
data_K2NaOsCl6
_symmetry_space_group_name_H-M 'P 1'
_symmetry_Int_Tables_number 1
_cell_length_a 7.209
_cell_length_b 7.210
_cell_length_c 10.198
_cell_angle_alpha 90.00
_cell_angle_beta 90.00
_cell_angle_gamma 90.00
loop_
_symmetry_equiv_pos_as_xyz
'x,y,z'
loop_
_atom_site_label
_atom_site_fract_x
_atom_site_fract_y
_atom_site_fract_z
Cl1 0.733 0.016 0.500
Cl2 0.000 0.750 0.767
Cl3 0.733 0.482 0.500
Cl4 0.500 0.250 0.733
Cl5 0.233 0.518 0.000
Cl6 0.767 0.984 0.000
Cl7 0.267 0.016 0.500
Cl8 0.267 0.482 0.500
Cl9 0.233 0.984 0.000
Cl10 0.767 0.518 0.000
Cl11 0.000 0.750 0.233
Cl12 0.500 0.250 0.267
K1 0.000 0.250 0.250
K2 0.000 0.250 0.750
K3 0.500 0.750 0.750
K4 0.500 0.750 0.250
Os1 0.000 0.751 0.000
Os2 0.500 0.249 0.500
Na1 0.000 0.750 0.500
Na2 0.500 0.250 0.000

***

# 6
# BaSiAu (PBE-GGA, optimized geometry)
# **N(E_F)**: 2.56 states/eV/f.u.
# **ΔE_f (raw)**: -0.17 eV per atom
# **Calculated total energy**: -3.706 eV per atom
# **Space group**: I4mm, No. 107
data_BaSiAu
_symmetry_space_group_name_H-M 'P 1'
_symmetry_Int_Tables_number 1
_cell_length_a 6.412
_cell_length_b 6.411
_cell_length_c 3.633
_cell_angle_alpha 73.56
_cell_angle_beta 73.52
_cell_angle_gamma 32.92
loop_
_symmetry_equiv_pos_as_xyz
'x,y,z'
loop_
_atom_site_label
_atom_site_fract_x
_atom_site_fract_y
_atom_site_fract_z
Au1 0.048 0.048 0.952
Ba1 0.334 0.334 0.666
Si1 0.617 0.617 0.383

***

# 7
# RbCaHf2Sc (PBE-GGA, optimized geometry)
# **E_form**: 1638.6 meV per atom
# **N(E_F)**: 2.22 states/eV/f.u.
# **Calculated total energy**: -4.203 eV per atom
# **Space group**: P4/mmm, No. 123
data_RbCaHf2Sc
_symmetry_space_group_name_H-M 'P 1'
_symmetry_Int_Tables_number 1
_cell_length_a 5.517
_cell_length_b 5.624
_cell_length_c 5.517
_cell_angle_alpha 90.00
_cell_angle_beta 90.00
_cell_angle_gamma 90.00
loop_
_symmetry_equiv_pos_as_xyz
'x,y,z'
loop_
_atom_site_label
_atom_site_fract_x
_atom_site_fract_y
_atom_site_fract_z
Hf1 0.000 0.000 0.500
Hf2 0.500 0.000 0.000
Ca1 0.000 0.000 0.000
Sc1 0.000 0.500 0.000
Rb1 0.500 0.500 0.500

***

# 8
# Dy3Tm3Th (PBE-GGA, optimized geometry)
# **E_form**: 156.1 meV per atom
# **N(E_F)**: 10.07 states/eV/f.u.
# **E above lowest polymorph**: 140 meV/atom
# **Calculated total energy**: -4.793 eV per atom
# **Space group**: C2/m, No. 12
data_Dy3Tm3Th
_symmetry_space_group_name_H-M 'P 1'
_symmetry_Int_Tables_number 1
_cell_length_a 6.536
_cell_length_b 6.536
_cell_length_c 10.461
_cell_angle_alpha 90.80
_cell_angle_beta 90.80
_cell_angle_gamma 95.13
loop_
_symmetry_equiv_pos_as_xyz
'x,y,z'
loop_
_atom_site_label
_atom_site_fract_x
_atom_site_fract_y
_atom_site_fract_z
Tm1 0.192 0.808 0.500
Tm2 0.322 0.322 0.440
Tm3 0.678 0.678 0.560
Tm4 0.818 0.182 0.000
Tm5 0.182 0.818 0.000
Tm6 0.808 0.192 0.500
Dy1 0.517 0.874 0.247
Dy2 0.874 0.517 0.247
Dy3 0.126 0.483 0.753
Dy4 0.483 0.126 0.753
Dy5 0.028 0.028 0.254
Dy6 0.972 0.972 0.746
Th1 0.666 0.666 0.918
Th2 0.334 0.334 0.082

***

# 9
# SmAl3Pt3 (PBE-GGA, optimized geometry)
# **E_form**: -614.8 meV per atom
# **N(E_F)**: 5.17 states/eV/f.u.
# **Calculated total energy**: -5.482 eV per atom
# **Space group**: Pm-3n, No. 223
data_SmAl3Pt3
_symmetry_space_group_name_H-M 'P 1'
_symmetry_Int_Tables_number 1
_cell_length_a 6.777
_cell_length_b 6.777
_cell_length_c 6.777
_cell_angle_alpha 90.00
_cell_angle_beta 90.00
_cell_angle_gamma 90.00
loop_
_symmetry_equiv_pos_as_xyz
'x,y,z'
loop_
_atom_site_label
_atom_site_fract_x
_atom_site_fract_y
_atom_site_fract_z
Sm1 0.500 0.500 0.500
Sm2 0.000 0.000 0.000
Pt1 0.000 0.500 0.250
Pt2 0.750 0.000 0.500
Pt3 0.000 0.500 0.750
Pt4 0.250 0.000 0.500
Pt5 0.500 0.250 0.000
Pt6 0.500 0.750 0.000
Al1 0.000 0.750 0.500
Al2 0.750 0.500 0.000
Al3 0.000 0.250 0.500
Al4 0.500 0.000 0.750
Al5 0.500 0.000 0.250
Al6 0.250 0.500 0.000

***

# 10
# Cs2As7Pd12 (PBE-GGA, optimized geometry)
# **E_form**: -331.5 meV per atom
# **N(E_F)**: 9.85 states/eV/f.u.
# **Calculated total energy**: -4.930 eV per atom
# **Space group**: P-6, No. 174
data_Cs2As7Pd12
_symmetry_space_group_name_H-M 'P 1'
_symmetry_Int_Tables_number 1
_cell_length_a 4.143
_cell_length_b 10.523
_cell_length_c 10.523
_cell_angle_alpha 120.00
_cell_angle_beta 90.00
_cell_angle_gamma 90.00
loop_
_symmetry_equiv_pos_as_xyz
'x,y,z'
loop_
_atom_site_label
_atom_site_fract_x
_atom_site_fract_y
_atom_site_fract_z
Pd1 0.500 0.242 0.776
Pd2 0.500 0.707 0.080
Pd3 0.500 0.373 0.293
Pd4 0.000 0.477 0.938
Pd5 0.500 0.920 0.627
Pd6 0.500 0.224 0.467
Pd7 0.000 0.291 0.068
Pd8 0.000 0.461 0.523
Pd9 0.000 0.062 0.539
Pd10 0.500 0.533 0.758
Pd11 0.000 0.777 0.709
Pd12 0.000 0.932 0.223
Cs1 0.500 0.000 0.000
Cs2 0.000 0.667 0.333
As1 0.500 0.632 0.580
As2 0.000 0.227 0.279
As3 0.000 0.052 0.773
As4 0.000 0.333 0.667
As5 0.500 0.420 0.051
As6 0.000 0.721 0.948
As7 0.500 0.949 0.368

***

# 11
# SbP5 (PBE-GGA, optimized geometry)
# **N(E_F)**: 3.40 states/eV/f.u.
# **ΔE_f (raw)**: 0.43 eV per atom
# **E above lowest polymorph**: 324 meV/atom
# **Calculated total energy**: -4.764 eV per atom
# **Space group**: P-62m, No. 189
data_SbP5
_symmetry_space_group_name_H-M 'P 1'
_symmetry_Int_Tables_number 1
_cell_length_a 5.999
_cell_length_b 5.999
_cell_length_c 3.349
_cell_angle_alpha 90.00
_cell_angle_beta 90.00
_cell_angle_gamma 120.00
loop_
_symmetry_equiv_pos_as_xyz
'x,y,z'
loop_
_atom_site_label
_atom_site_fract_x
_atom_site_fract_y
_atom_site_fract_z
P1 0.000 0.611 0.000
P2 0.333 0.667 0.500
P3 0.611 0.000 0.000
P4 0.667 0.333 0.500
P5 0.389 0.389 0.000
Sb1 0.000 0.000 0.500

***

# 12
# SiPtPb2 (PBE-GGA, optimized geometry)
# **N(E_F)**: 1.19 states/eV/f.u.
# **ΔE_f (raw)**: -0.26 eV per atom
# **Calculated total energy**: -4.979 eV per atom
# **Space group**: Cm, No. 8
data_SiPtPb2
_symmetry_space_group_name_H-M 'P 1'
_symmetry_Int_Tables_number 1
_cell_length_a 4.200
_cell_length_b 4.200
_cell_length_c 7.156
_cell_angle_alpha 73.05
_cell_angle_beta 73.05
_cell_angle_gamma 60.00
loop_
_symmetry_equiv_pos_as_xyz
'x,y,z'
loop_
_atom_site_label
_atom_site_fract_x
_atom_site_fract_y
_atom_site_fract_z
Pt1 0.541 0.541 0.377
Pb1 0.968 0.968 0.094
Pb2 0.782 0.782 0.656
Si1 0.209 0.209 0.373